Entry 1:
# SrLuMgHg, optimized geometry, DFT PBE-GGA
# crystal system = cubic
data_SrLuMgHg
_cell_length_a 7.7268
_cell_length_b 7.7268
_cell_length_c 7.7268
_cell_angle_alpha 90.00
_cell_angle_beta 90.00
_cell_angle_gamma 90.00
_space_group_name_H-M_alt 'F -4 3 m'
_space_group_IT_number 216
_space_group_name_Hall 'F -4 2 3'
loop_
_atom_site_label
_atom_site_fract_x
_atom_site_fract_y
_atom_site_fract_z
_atom_site_occupancy
Sr1 0.0000 0.0000 0.0000 1
Lu1 0.0000 0.0000 0.5000 1
Mg1 0.2500 0.2500 0.7500 1
Hg1 0.2500 0.2500 0.2500 1

Entry 2:
# LuThMgHg, optimized geometry, DFT PBE-GGA
# crystal system = cubic
data_LuThMgHg
_cell_length_a 7.5374
_cell_length_b 7.5374
_cell_length_c 7.5374
_cell_angle_alpha 90.00
_cell_angle_beta 90.00
_cell_angle_gamma 90.00
_space_group_name_H-M_alt 'F -4 3 m'
_space_group_IT_number 216
_space_group_name_Hall 'F -4 2 3'
loop_
_atom_site_label
_atom_site_fract_x
_atom_site_fract_y
_atom_site_fract_z
_atom_site_occupancy
Lu1 0.0000 0.0000 0.0000 1
Th1 0.0000 0.0000 0.5000 1
Mg1 0.2500 0.2500 0.7500 1
Hg1 0.2500 0.2500 0.2500 1

Entry 3:
# LuMgTlHg, optimized geometry, DFT PBE-GGA
# crystal system = cubic
data_LuMgTlHg
_cell_length_a 7.2375
_cell_length_b 7.2375
_cell_length_c 7.2375
_cell_angle_alpha 90.00
_cell_angle_beta 90.00
_cell_angle_gamma 90.00
_space_group_name_H-M_alt 'F -4 3 m'
_space_group_IT_number 216
_space_group_name_Hall 'F -4 2 3'
loop_
_atom_site_label
_atom_site_fract_x
_atom_site_fract_y
_atom_site_fract_z
_atom_site_occupancy
Lu1 0.0000 0.0000 0.0000 1
Mg1 0.0000 0.0000 0.5000 1
Tl1 0.2500 0.2500 0.7500 1
Hg1 0.2500 0.2500 0.2500 1

Entry 4:
# Lu2MnHg, optimized geometry, DFT PBE-GGA
# crystal system = tetragonal
# polymorph energy (0 for the lowest one) = 0.00 eV per formula unit
data_Lu2MnHg
_cell_length_a 3.4431
_cell_length_b 3.4431
_cell_length_c 7.4909
_cell_angle_alpha 90.00
_cell_angle_beta 90.00
_cell_angle_gamma 90.00
_space_group_name_H-M_alt 'P 4/m m m'
_space_group_IT_number 123
_space_group_name_Hall '-P 4 2'
loop_
_atom_site_label
_atom_site_fract_x
_atom_site_fract_y
_atom_site_fract_z
_atom_site_occupancy
Lu1 0.0000 0.0000 0.2276 1
Mn1 0.5000 0.5000 0.0000 1
Hg1 0.5000 0.5000 0.5000 1

Entry 5:
# LuMnHg2, optimized geometry, DFT PBE-GGA
# crystal system = cubic
# polymorph energy (0 for the lowest one) = 0.00 eV per formula unit
data_LuMnHg2
_cell_length_a 6.9735
_cell_length_b 6.9735
_cell_length_c 6.9735
_cell_angle_alpha 90.00
_cell_angle_beta 90.00
_cell_angle_gamma 90.00
_space_group_name_H-M_alt 'F m -3 m'
_space_group_IT_number 225
_space_group_name_Hall '-F 4 2 3'
loop_
_atom_site_label
_atom_site_fract_x
_atom_site_fract_y
_atom_site_fract_z
_atom_site_occupancy
Lu1 0.0000 0.0000 0.0000 1
Mn1 0.0000 0.0000 0.5000 1
Hg1 0.2500 0.2500 0.2500 1

Entry 6:
# Lu2MnHg, optimized geometry, DFT PBE-GGA
# crystal system = cubic
# polymorph energy (0 for the lowest one) = 0.40 eV per formula unit
data_Lu2MnHg
_cell_length_a 7.1313
_cell_length_b 7.1313
_cell_length_c 7.1313
_cell_angle_alpha 90.00
_cell_angle_beta 90.00
_cell_angle_gamma 90.00
_space_group_name_H-M_alt 'F m -3 m'
_space_group_IT_number 225
_space_group_name_Hall '-F 4 2 3'
loop_
_atom_site_label
_atom_site_fract_x
_atom_site_fract_y
_atom_site_fract_z
_atom_site_occupancy
Lu1 0.2500 0.2500 0.2500 1
Mn1 0.0000 0.0000 0.0000 1
Hg1 0.0000 0.0000 0.5000 1

Entry 7:
# LuMnHg2, optimized geometry, DFT PBE-GGA
# crystal system = tetragonal
# polymorph energy (0 for the lowest one) = 0.17 eV per formula unit
data_LuMnHg2
_cell_length_a 3.4902
_cell_length_b 3.4902
_cell_length_c 6.9699
_cell_angle_alpha 90.00
_cell_angle_beta 90.00
_cell_angle_gamma 90.00
_space_group_name_H-M_alt 'P 4/m m m'
_space_group_IT_number 123
_space_group_name_Hall '-P 4 2'
loop_
_atom_site_label
_atom_site_fract_x
_atom_site_fract_y
_atom_site_fract_z
_atom_site_occupancy
Lu1 0.0000 0.0000 0.0000 1
Mn1 0.0000 0.0000 0.5000 1
Hg1 0.5000 0.5000 0.2746 1

Entry 8:
# SmLuMnHg, optimized geometry, DFT PBE-GGA
# crystal system = cubic
data_SmLuMnHg
_cell_length_a 7.2816
_cell_length_b 7.2816
_cell_length_c 7.2816
_cell_angle_alpha 90.00
_cell_angle_beta 90.00
_cell_angle_gamma 90.00
_space_group_name_H-M_alt 'F -4 3 m'
_space_group_IT_number 216
_space_group_name_Hall 'F -4 2 3'
loop_
_atom_site_label
_atom_site_fract_x
_atom_site_fract_y
_atom_site_fract_z
_atom_site_occupancy
Sm1 0.0000 0.0000 0.0000 1
Lu1 0.0000 0.0000 0.5000 1
Mn1 0.2500 0.2500 0.7500 1
Hg1 0.2500 0.2500 0.2500 1

Entry 9:
# TbLuMnHg, optimized geometry, DFT PBE-GGA
# crystal system = cubic
data_TbLuMnHg
_cell_length_a 7.2211
_cell_length_b 7.2211
_cell_length_c 7.2211
_cell_angle_alpha 90.00
_cell_angle_beta 90.00
_cell_angle_gamma 90.00
_space_group_name_H-M_alt 'F -4 3 m'
_space_group_IT_number 216
_space_group_name_Hall 'F -4 2 3'
loop_
_atom_site_label
_atom_site_fract_x
_atom_site_fract_y
_atom_site_fract_z
_atom_site_occupancy
Tb1 0.0000 0.0000 0.0000 1
Lu1 0.0000 0.0000 0.5000 1
Mn1 0.2500 0.2500 0.7500 1
Hg1 0.2500 0.2500 0.2500 1

Entry 10:
# TmLuMnHg, optimized geometry, DFT PBE-GGA
# crystal system = cubic
data_TmLuMnHg
_cell_length_a 7.1585
_cell_length_b 7.1585
_cell_length_c 7.1585
_cell_angle_alpha 90.00
_cell_angle_beta 90.00
_cell_angle_gamma 90.00
_space_group_name_H-M_alt 'F -4 3 m'
_space_group_IT_number 216
_space_group_name_Hall 'F -4 2 3'
loop_
_atom_site_label
_atom_site_fract_x
_atom_site_fract_y
_atom_site_fract_z
_atom_site_occupancy
Tm1 0.0000 0.0000 0.0000 1
Lu1 0.0000 0.0000 0.5000 1
Mn1 0.2500 0.2500 0.7500 1
Hg1 0.2500 0.2500 0.2500 1

Entry 11:
# Lu4Hg2N, optimized geometry, DFT PBE-GGA
# crystal system = tetragonal
# raw formation energy = -0.75 eV per atom
data_Lu4Hg2N
_cell_length_a 4.6581
_cell_length_b 4.6581
_cell_length_c 14.6389
_cell_angle_alpha 90.00
_cell_angle_beta 90.00
_cell_angle_gamma 90.00
_space_group_name_H-M_alt 'I 4/m m m'
_space_group_IT_number 139
_space_group_name_Hall '-I 4 2'
loop_
_atom_site_label
_atom_site_fract_x
_atom_site_fract_y
_atom_site_fract_z
_atom_site_occupancy
Lu1 0.0000 0.0000 0.1692 1
Lu2 0.0000 0.5000 0.0000 1
Hg1 0.0000 0.0000 0.3674 1
N1 0.0000 0.0000 0.0000 1

Entry 12:
# NaLuHg2, optimized geometry, DFT PBE-GGA
# crystal system = tetragonal
data_NaLuHg2
_cell_length_a 5.2798
_cell_length_b 5.2798
_cell_length_c 3.4777
_cell_angle_alpha 90.00
_cell_angle_beta 90.00
_cell_angle_gamma 90.00
_space_group_name_H-M_alt 'P 4/m m m'
_space_group_IT_number 123
_space_group_name_Hall '-P 4 2'
loop_
_atom_site_label
_atom_site_fract_x
_atom_site_fract_y
_atom_site_fract_z
_atom_site_occupancy
Na1 0.0000 0.0000 0.0000 1
Lu1 0.5000 0.5000 0.0000 1
Hg1 0.0000 0.5000 0.5000 1

Entry 13:
# NaLu2Hg, optimized geometry, DFT PBE-GGA
# crystal system = trigonal
data_NaLu2Hg
_cell_length_a 3.4891
_cell_length_b 3.4891
_cell_length_c 34.7156
_cell_angle_alpha 90.00
_cell_angle_beta 90.00
_cell_angle_gamma 120.00
_space_group_name_H-M_alt 'R -3 m'
_space_group_IT_number 166
_space_group_name_Hall '-R 3 2"'
loop_
_atom_site_label
_atom_site_fract_x
_atom_site_fract_y
_atom_site_fract_z
_atom_site_occupancy
Na1 0.0000 0.0000 0.0000 1
Lu1 0.0000 0.0000 0.0987 1
Hg1 0.0000 0.0000 0.5000 1

Entry 14:
# NaLuHg2, optimized geometry, DFT PBE-GGA
# crystal system = trigonal
data_NaLuHg2
_cell_length_a 3.6544
_cell_length_b 3.6544
_cell_length_c 27.8830
_cell_angle_alpha 90.00
_cell_angle_beta 90.00
_cell_angle_gamma 120.00
_space_group_name_H-M_alt 'R -3 m'
_space_group_IT_number 166
_space_group_name_Hall '-R 3 2"'
loop_
_atom_site_label
_atom_site_fract_x
_atom_site_fract_y
_atom_site_fract_z
_atom_site_occupancy
Na1 0.0000 0.0000 0.0000 1
Lu1 0.0000 0.0000 0.5000 1
Hg1 0.0000 0.0000 0.2463 1

Entry 15:
# NaNdLuHg, optimized geometry, DFT PBE-GGA
# crystal system = cubic
data_NaNdLuHg
_cell_length_a 7.6124
_cell_length_b 7.6124
_cell_length_c 7.6124
_cell_angle_alpha 90.00
_cell_angle_beta 90.00
_cell_angle_gamma 90.00
_space_group_name_H-M_alt 'F -4 3 m'
_space_group_IT_number 216
_space_group_name_Hall 'F -4 2 3'
loop_
_atom_site_label
_atom_site_fract_x
_atom_site_fract_y
_atom_site_fract_z
_atom_site_occupancy
Na1 0.0000 0.0000 0.0000 1
Nd1 0.2500 0.2500 0.7500 1
Lu1 0.2500 0.2500 0.2500 1
Hg1 0.0000 0.0000 0.5000 1

Entry 16:
# NaLuHgPd, optimized geometry, DFT PBE-GGA
# crystal system = cubic
data_NaLuHgPd
_cell_length_a 6.9953
_cell_length_b 6.9953
_cell_length_c 6.9953
_cell_angle_alpha 90.00
_cell_angle_beta 90.00
_cell_angle_gamma 90.00
_space_group_name_H-M_alt 'F -4 3 m'
_space_group_IT_number 216
_space_group_name_Hall 'F -4 2 3'
loop_
_atom_site_label
_atom_site_fract_x
_atom_site_fract_y
_atom_site_fract_z
_atom_site_occupancy
Na1 0.0000 0.0000 0.0000 1
Lu1 0.0000 0.0000 0.5000 1
Hg1 0.2500 0.2500 0.7500 1
Pd1 0.2500 0.2500 0.2500 1

Entry 17:
# NaPmLuHg, optimized geometry, DFT PBE-GGA
# crystal system = cubic
data_NaPmLuHg
_cell_length_a 7.5865
_cell_length_b 7.5865
_cell_length_c 7.5865
_cell_angle_alpha 90.00
_cell_angle_beta 90.00
_cell_angle_gamma 90.00
_space_group_name_H-M_alt 'F -4 3 m'
_space_group_IT_number 216
_space_group_name_Hall 'F -4 2 3'
loop_
_atom_site_label
_atom_site_fract_x
_atom_site_fract_y
_atom_site_fract_z
_atom_site_occupancy
Na1 0.0000 0.0000 0.0000 1
Pm1 0.2500 0.2500 0.7500 1
Lu1 0.2500 0.2500 0.2500 1
Hg1 0.0000 0.0000 0.5000 1

Entry 18:
# NaLuHgSb, optimized geometry, DFT PBE-GGA
# crystal system = cubic
# raw formation energy = -0.41 eV per atom
data_NaLuHgSb
_cell_length_a 7.3987
_cell_length_b 7.3987
_cell_length_c 7.3987
_cell_angle_alpha 90.00
_cell_angle_beta 90.00
_cell_angle_gamma 90.00
_space_group_name_H-M_alt 'F -4 3 m'
_space_group_IT_number 216
_space_group_name_Hall 'F -4 2 3'
loop_
_atom_site_label
_atom_site_fract_x
_atom_site_fract_y
_atom_site_fract_z
_atom_site_occupancy
Na1 0.0000 0.0000 0.0000 1
Lu1 0.0000 0.0000 0.5000 1
Hg1 0.2500 0.2500 0.2500 1
Sb1 0.2500 0.2500 0.7500 1

Entry 19:
# NaLuSnHg, optimized geometry, DFT PBE-GGA
# crystal system = cubic
data_NaLuSnHg
_cell_length_a 7.3742
_cell_length_b 7.3742
_cell_length_c 7.3742
_cell_angle_alpha 90.00
_cell_angle_beta 90.00
_cell_angle_gamma 90.00
_space_group_name_H-M_alt 'F -4 3 m'
_space_group_IT_number 216
_space_group_name_Hall 'F -4 2 3'
loop_
_atom_site_label
_atom_site_fract_x
_atom_site_fract_y
_atom_site_fract_z
_atom_site_occupancy
Na1 0.0000 0.0000 0.0000 1
Lu1 0.0000 0.0000 0.5000 1
Sn1 0.2500 0.2500 0.2500 1
Hg1 0.2500 0.2500 0.7500 1

Entry 20:
# Lu2NbHg, optimized geometry, DFT PBE-GGA
# crystal system = trigonal
# polymorph energy (0 for the lowest one) = 1.98 eV per formula unit
data_Lu2NbHg
_cell_length_a 3.2113
_cell_length_b 3.2113
_cell_length_c 33.0910
_cell_angle_alpha 90.00
_cell_angle_beta 90.00
_cell_angle_gamma 120.00
_space_group_name_H-M_alt 'R -3 m'
_space_group_IT_number 166
_space_group_name_Hall '-R 3 2"'
loop_
_atom_site_label
_atom_site_fract_x
_atom_site_fract_y
_atom_site_fract_z
_atom_site_occupancy
Lu1 0.0000 0.0000 0.0883 1
Nb1 0.0000 0.0000 0.0000 1
Hg1 0.0000 0.0000 0.5000 1

Here are the calculated E numbers, same order: -2.2028 -3.5686 -2.5026 -4.8137 -3.6831 -4.7142 -3.6415 -4.7411 -4.7348 -4.7025 -4.6062 -1.9558 -2.6105 -1.8238 -2.7665 -3.2056 -2.7604 -2.9765 -2.9239 -4.4526 (eV per atom).